# 1
A relaxed structure of Er2PuS4. Source: the Alexandria database, functional PBE. Values from VASP.

```
&SYSTEM
  ibrav = 0, nat = 14, ntyp = 3
/
ATOMIC_SPECIES
Er 167.26 Er.upf
Pu 244.00 Pu.upf
S 32.06 S.upf
CELL_PARAMETERS angstrom
-4.0018 4.0355 5.7212
4.0018 -4.0355 5.7212
4.0018 4.0355 -5.7212
ATOMIC_POSITIONS crystal
Er 0.0000 0.0000 0.5000
Er 0.0000 0.5000 0.0000
Er 0.3736 0.1236 0.2500
Er 0.6264 0.8764 0.7500
Pu 0.0000 0.5000 0.5000
Pu 0.5000 0.5000 0.0000
S 0.2299 0.7473 0.4826
S 0.2354 0.2527 0.9826
S 0.2384 0.2458 0.5075
S 0.2384 0.7309 0.9925
S 0.7616 0.2691 0.0075
S 0.7616 0.7542 0.4925
S 0.7646 0.7473 0.0174
S 0.7701 0.2527 0.5174
```

polymorph energy (0 for the lowest one) = 130 meV per atom
DOS at the Fermi energy = 1.767 states/eV/atom
SG = Imma, No. 74
DFT total energy = -7.533 eV/atom

# 2
A relaxed structure of Er3Pu4S8. Source: the Alexandria database, functional PBE. Values from VASP.

```
&SYSTEM
  ibrav = 0, nat = 15, ntyp = 3
/
ATOMIC_SPECIES
Er 167.26 Er.upf
Pu 244.00 Pu.upf
S 32.06 S.upf
CELL_PARAMETERS angstrom
5.5210 -5.5285 0.0000
5.5210 5.5285 0.0000
-5.4979 0.0000 5.5365
ATOMIC_POSITIONS crystal
Er 0.0000 0.0000 0.0000
Er 0.0000 0.5000 0.5000
Er 0.5000 0.0000 0.5000
Pu 0.0000 0.0000 0.5000
Pu 0.0000 0.5000 0.0000
Pu 0.5000 0.0000 0.0000
Pu 0.5000 0.5000 0.0000
S 0.2476 0.2476 0.9988
S 0.2482 0.7518 0.0000
S 0.2496 0.2496 0.4936
S 0.2508 0.7492 0.5000
S 0.7492 0.2508 0.5000
S 0.7504 0.7504 0.5064
S 0.7518 0.2482 0.0000
S 0.7524 0.7524 0.0012
```

DOS at the Fermi energy = 2.011 states/eV/atom
SG = C2/m, No. 12
DFT total energy = -8.807 eV/atom